Here is a geometry-optimized Sr2AlSi structure from Alexandria. Energies are from GGA-PBE.

Values from the calculation:
- Total magnetic moment: 0.00 μB/cell
- Uncorrected formation energy: 0.0772 eV/atom

abc: 4.7179 4.7179 10.3670
angles: 90.00 90.00 90.00
Last column: nearest neighbours and their distance in Å.
Space group I-4m2 (No. 119)
One atom of each set of equivalent atoms:
Sr 0.0000 0.0000 0.0000 (multiplicity 2)  4 Si 3.34, 4 Sr 3.50, 4 Al 3.50
Sr 0.0000 0.5000 0.2500 (multiplicity 2)  4 Al 3.34, 4 Sr 3.50, 4 Si 3.50
Al 0.0000 0.5000 0.7500 (multiplicity 2)  8 Sr 3.34-3.50, 4 Si 3.50
Si 0.0000 0.0000 0.5000 (multiplicity 2)  8 Sr 3.34-3.50, 4 Al 3.50

Here is a geometry-optimized PmPr4Ge2 structure from Alexandria. Energies are from GGA-PBE.

Values from the calculation:
- Calculated formation energy: -0.34 eV/atom
- Total magnetic moment: 0.00 μB/cell

abc: 5.0571 5.0571 30.7421
angles: 90.00 90.00 120.00
Last column: nearest neighbours and their distance in Å.
Space group R-3m (No. 166, hexagonal axes)
One atom of each set of equivalent atoms:
Pm 0.0000 0.0000 0.0000 (multiplicity 3)  2 Ge 3.07
Pr 0.0000 0.0000 0.2021 (multiplicity 6)  4 Ge 3.08-3.15
Pr 0.0000 0.0000 0.3946 (multiplicity 6)  3 Ge 3.15, 3 Pm 3.47
Ge 0.0000 0.0000 0.0998 (multiplicity 6)  1 Pm 3.07, 7 Pr 3.08-3.15

Here is a geometry-optimized Sm5HoTe8 structure from Alexandria. Energies are from GGA-PBE.

Values from the calculation:
- Total magnetic moment: 0.00 μB/cell
- Uncorrected formation energy: -1.3668 eV/atom

abc: 9.5931 9.5931 9.2565
angles: 90.00 90.00 90.00
Last column: nearest neighbours and their distance in Å.
Space group I-4 (No. 82)
One atom of each set of equivalent atoms:
Sm 0.0000 0.0000 0.0000 (multiplicity 2)  8 Te 3.23-3.37
Sm 0.1541 0.2522 0.3750 (multiplicity 8)  6 Te 3.12-3.23
Ho 0.0000 0.5000 0.7500 (multiplicity 2)  8 Te 3.17-3.35
Te 0.0656 0.1806 0.6952 (multiplicity 8)  4 Sm 3.13-3.37, 1 Ho 3.17
Te 0.0694 0.3251 0.0545 (multiplicity 8)  4 Sm 3.12-3.23, 1 Ho 3.35